# 1
Below is KCaTa after structural relaxation, with properties calculated at the PBE level.

Results
Its energy of formation is 73.2 kJ per mole of atoms. Its total moment is 0.00 μB/cell.

Geometry as POSCAR:
```
KCaTa
1.0
-3.942 -2.085 6.666
-5.072 -3.599 -6.375
1.066 -3.106 0.431
Ta Ca K
2 2 2
Cartesian
-0.640 -3.490 2.791
-7.308 -5.300 -2.069
-3.685 -3.224 1.951
-4.263 -5.566 -1.229
-6.900 -6.476 1.702
-1.048 -2.314 -0.980
```

=====

# 2
Below is PmNdNiBr after structural relaxation, with properties calculated at the PBE level.

Results
The energy relative to the elements, uncorrected is -0.794 eV per atom. Its total moment is 0.00 μB/cell.

Geometry as POSCAR:
```
PmNdNiBr
1.0
4.051 0.000 0.000
-2.025 3.509 0.000
-2.025 -1.169 7.776
Pm Nd Ni Br
1 1 1 1
Cartesian
-1.642 3.252 0.471
0.383 -0.257 5.263
-1.641 0.913 6.767
2.407 0.913 2.814
```

=====

# 3
Below is OsRuN after structural relaxation, with properties calculated at the PBE level.

Results
The energy relative to the elements, uncorrected is 0.835 eV per atom. Its total moment is 0.00 μB/cell.

Geometry as POSCAR:
```
OsRuN
1.0
3.573 0.000 0.000
0.000 4.327 0.000
0.000 0.000 11.318
Ru Os N
4 4 4
Cartesian
0.893 3.644 7.009
2.680 1.480 9.968
0.893 2.847 1.350
2.680 0.683 4.309
0.893 2.193 3.791
0.893 4.298 9.451
2.680 2.134 7.527
2.680 0.030 1.868
2.680 1.444 0.757
0.893 2.883 10.561
0.893 3.608 4.902
2.680 0.720 6.416
```

=====

# 4
Below is Tb3Y6Th2Sc after structural relaxation, with properties calculated at the PBE level.

Results
Its energy of formation is 2.8 kJ per mole of atoms. Its total moment is 0.00 μB/cell.

Geometry as POSCAR:
```
Tb3Y6Th2Sc
1.0
6.133 0.000 -0.001
-3.065 5.312 -0.001
-1.023 -1.772 11.590
Sc Th Y Tb
1 2 6 3
Cartesian
0.000 0.000 0.000
0.002 3.541 -0.001
3.065 1.771 -0.001
0.001 0.001 8.736
2.041 -0.002 2.849
-1.021 1.767 2.849
3.066 1.774 8.739
0.004 3.542 8.739
2.044 3.539 2.852
4.091 -0.002 5.794
1.022 1.770 5.794
-2.047 3.543 5.794
```